Entry 1:
This record from Alexandria via LeMat-Bulk describes an optimized crystal structure of VIn2AgAs. The functional is PBE.

```
VIn2AgAs
1.0
5.548 0.000 0.000
0.000 5.548 0.000
0.000 0.000 4.854
V In Ag As
1 2 1 1
Cartesian
0.000 0.000 0.000
0.000 2.774 2.427
2.774 0.000 2.427
2.774 2.774 0.000
2.774 2.774 2.427
```

calculated density = 5.151 g/cm³
calculated formation energy = 1.119 eV per atom
total energy = -16.5 eV for the cell shown
density of states at the Fermi level = 6.19 states/eV/cell

---

Entry 2:
This record from Alexandria via LeMat-Bulk describes an optimized crystal structure of Zr3TiAu. The functional is PBE.

```
Zr3TiAu
1.0
4.890 0.000 0.000
0.000 4.890 0.000
0.000 0.000 4.890
Zr Ti Au
3 1 1
Cartesian
0.000 0.000 2.445
0.000 2.445 0.000
2.445 0.000 0.000
0.000 0.000 0.000
2.445 2.445 2.445
```

calculated density = 7.364 g/cm³
calculated formation energy = 0.703 eV per atom
relative energy among the computed polymorphs = 0 meV/atom
total energy = -33.3 eV for the cell shown
density of states at the Fermi level = 9.15 states/eV/cell

---

Entry 3:
This record from Alexandria via LeMat-Bulk describes an optimized crystal structure of TcCl. The functional is PBE.

```
TcCl
1.0
0.000 2.654 2.654
2.654 0.000 2.654
2.654 2.654 0.000
Tc Cl
1 1
Cartesian
0.000 0.000 0.000
1.327 1.327 1.327
```

calculated density = 5.928 g/cm³
formation energy from raw total energies = 908.3 meV/atom
relative energy among the computed polymorphs = 1035 meV/atom
total energy = -10.4 eV for the cell shown
density of states at the Fermi level = 1.35 states/eV/cell

---

Entry 4:
This record from Alexandria via LeMat-Bulk describes an optimized crystal structure of SrH3Au. The functional is PBE.

```
SrH3Au
1.0
4.344 0.000 0.000
0.000 4.344 0.000
0.000 0.000 4.344
Sr H Au
1 3 1
Cartesian
0.000 0.000 0.000
0.000 0.000 2.172
0.000 2.172 0.000
2.172 0.000 0.000
2.172 2.172 2.172
```

calculated density = 5.827 g/cm³
relative energy among the computed polymorphs = 836 meV/atom
total energy = -12.5 eV for the cell shown
density of states at the Fermi level = 0.89 states/eV/cell

---

Entry 5:
This record from Alexandria via LeMat-Bulk describes an optimized crystal structure of Al5Fe24. The functional is PBE.

```
Al5Fe24
1.0
-4.372 4.372 4.372
4.372 -4.372 4.372
4.372 4.372 -4.372
Al Fe
5 24
Cartesian
0.000 0.000 0.000
1.616 1.616 -1.616
1.616 -1.616 1.616
-1.616 1.616 1.616
2.756 2.756 2.756
4.093 1.248 -1.248
4.093 -1.248 1.248
6.311 0.782 -0.782
6.311 -0.782 0.782
2.433 0.782 0.782
3.589 3.589 -1.939
3.589 -1.939 3.589
4.650 1.248 1.248
1.248 4.093 -1.248
1.248 -1.248 4.093
0.782 2.433 0.782
0.782 0.782 2.433
3.123 3.123 0.278
3.123 0.278 3.123
-1.248 4.093 1.248
-1.248 1.248 4.093
0.782 6.311 -0.782
0.782 -0.782 6.311
1.248 4.650 1.248
1.248 1.248 4.650
0.278 3.123 3.123
-0.782 6.311 0.782
-0.782 0.782 6.311
-1.939 3.589 3.589
```

calculated density = 7.330 g/cm³
calculated formation energy = -0.055 eV per atom
total energy = -223.4 eV for the cell shown
density of states at the Fermi level = 31.61 states/eV/cell

---

Entry 6:
This record from Alexandria via LeMat-Bulk describes an optimized crystal structure of Ca2AcHoAg4. The functional is PBE.

```
Ca2AcHoAg4
1.0
2.635 1.521 8.773
-2.635 1.521 8.773
0.000 -3.043 8.773
Ca Ac Ho Ag
2 1 1 4
Cartesian
0.000 0.000 6.485
0.000 0.000 19.833
0.000 0.000 0.000
0.000 0.000 13.159
0.000 0.000 3.384
0.000 0.000 10.101
0.000 0.000 16.217
0.000 0.000 22.934
```

calculated density = 7.110 g/cm³
calculated formation energy = -0.287 eV per atom
total energy = -26.4 eV for the cell shown
density of states at the Fermi level = 5.99 states/eV/cell

---

no.,magnetization (μB/atom)
1,0.004
2,0.000
3,0.000
4,0.000
5,1.224
6,0.000